1.
Crystalline K2Cd4Fe at its relaxed geometry, computed with PBE-GGA.

Geometry as CIF:
```
data_K2Cd4Fe
_chemical_formula_sum 'K4 Cd8 Fe2'
_space_group_name_H-M_alt 'I 4/m m m'
_space_group_IT_number 139
_space_group_name_Hall '-I 4 2'
_cell_length_a 5.205
_cell_length_b 5.205
_cell_length_c 17.603
_cell_angle_alpha 90.00
_cell_angle_beta 90.00
_cell_angle_gamma 90.00
loop_
_atom_site_label
_atom_site_fract_x
_atom_site_fract_y
_atom_site_fract_z
K1 0.000 0.000 0.147
Cd1 0.000 0.000 0.353
Cd2 0.000 0.500 0.000
Fe1 0.000 0.000 0.500
```

Properties
DFT total energy ... -1.83 eV/atom
Crystal system ... tetragonal
Energy of formation from the pure elements ... 0.2181 eV/atom

=====

2.
Crystalline KCd2Fe at its relaxed geometry, computed with PBE-GGA.

Geometry as CIF:
```
data_KCd2Fe
_chemical_formula_sum 'K4 Cd8 Fe4'
_space_group_name_H-M_alt 'F m -3 m'
_space_group_IT_number 225
_space_group_name_Hall '-F 4 2 3'
_cell_length_a 7.316
_cell_length_b 7.316
_cell_length_c 7.316
_cell_angle_alpha 90.00
_cell_angle_beta 90.00
_cell_angle_gamma 90.00
loop_
_atom_site_label
_atom_site_fract_x
_atom_site_fract_y
_atom_site_fract_z
K1 0.000 0.000 0.000
Cd1 0.250 0.250 0.250
Fe1 0.000 0.000 0.500
```

Properties
DFT total energy ... -2.25 eV/atom
Crystal system ... cubic
Energy of formation from the pure elements ... 0.5977 eV/atom
Polymorph energy (0 for the lowest one) ... 0.2640 eV per atom

=====

3.
Crystalline KCdFe2 at its relaxed geometry, computed with PBE-GGA.

Geometry as CIF:
```
data_KCdFe2
_chemical_formula_sum 'K2 Cd2 Fe4'
_space_group_name_H-M_alt 'I m m m'
_space_group_IT_number 71
_space_group_name_Hall '-I 2 2'
_cell_length_a 2.779
_cell_length_b 5.372
_cell_length_c 10.975
_cell_angle_alpha 90.00
_cell_angle_beta 90.00
_cell_angle_gamma 90.00
loop_
_atom_site_label
_atom_site_fract_x
_atom_site_fract_y
_atom_site_fract_z
K1 0.000 0.000 0.000
Cd1 0.000 0.000 0.500
Fe1 0.000 0.500 0.222
```

Properties
DFT total energy ... -3.79 eV/atom
Crystal system ... orthorhombic
Energy of formation from the pure elements ... 0.9411 eV/atom

=====

4.
Crystalline KCdFe2 at its relaxed geometry, computed with PBE-GGA.

Geometry as CIF:
```
data_KCdFe2
_chemical_formula_sum 'K1 Cd1 Fe2'
_space_group_name_H-M_alt 'P m m m'
_space_group_IT_number 47
_space_group_name_Hall '-P 2 2'
_cell_length_a 2.823
_cell_length_b 4.416
_cell_length_c 7.246
_cell_angle_alpha 90.00
_cell_angle_beta 90.00
_cell_angle_gamma 90.00
loop_
_atom_site_label
_atom_site_fract_x
_atom_site_fract_y
_atom_site_fract_z
K1 0.000 0.000 0.000
Cd1 0.000 0.000 0.500
Fe1 0.500 0.500 0.347
```

Properties
DFT total energy ... -4.01 eV/atom
Crystal system ... orthorhombic
Energy of formation from the pure elements ... 0.7227 eV/atom